Density functional theory data (PBE) for a relaxed YTh4Te5 crystal.

Cell and atoms, written as extended XYZ:
```
10
Lattice="3.846 0.000 0.000 0.000 3.846 0.000 0.000 0.000 19.165" Properties=species:S:1:pos:R:3 pbc="T T T"
Y 0.000 0.000 0.000
Th 0.000 0.000 3.793
Th 0.000 0.000 7.650
Th 0.000 0.000 11.515
Th 0.000 0.000 15.372
Te 1.923 1.923 1.885
Te 1.923 1.923 5.724
Te 1.923 1.923 9.582
Te 1.923 1.923 13.440
Te 1.923 1.923 17.280
```

SG = P4/mmm
spin magnetization = 0.00 μB/cell
crystal system = tetragonal
energy relative to the elements, uncorrected = -11.08 eV/f.u.
energy = -62.93 eV/cell
calculated density = 9693 kg/m3